1.
The following is a PBE calculation of a relaxed PmHoNi3 crystal, from Alexandria via LeMat-Bulk.

a = 4.000 Å, b = 3.905 Å, c = 12.240 Å
α = 99.18°, β = 90.00°, γ = 90.00°
Atoms (fractional coordinates):
1 Pm 0.250 0.072 0.144
2 Pm 0.750 0.928 0.856
3 Ho 0.250 0.796 0.592
4 Ho 0.750 0.204 0.408
5 Ni 0.250 0.378 0.756
6 Ni 0.750 0.622 0.244
7 Ni 0.250 0.475 0.950
8 Ni 0.750 0.525 0.050
9 Ni 0.750 0.324 0.648
10 Ni 0.250 0.676 0.352

energy = -5.73 eV/atom
space-group type = Cmcm, No. 63

***

2.
The following is a PBE calculation of a relaxed Sc3CdGa crystal, from Alexandria via LeMat-Bulk.

a = 5.236 Å, b = 5.236 Å, c = 5.236 Å
α = 90.00°, β = 90.00°, γ = 90.00°
Atoms (fractional coordinates):
1 Sc 0.000 0.500 0.000
2 Sc 0.000 0.000 0.500
3 Sc 0.500 0.000 0.000
4 Ga 0.500 0.500 0.500
5 Cd 0.000 0.000 0.000

energy relative to the lowest polymorph listed for this composition = 849 meV/atom
space-group type = Pm-3m, No. 221

***

3.
The following is a PBE calculation of a relaxed AcSn12Pd6 crystal, from Alexandria via LeMat-Bulk.

a = 8.141 Å, b = 8.141 Å, c = 8.141 Å
α = 106.59°, β = 106.59°, γ = 106.59°
Atoms (fractional coordinates):
1 Ac 0.000 0.000 0.000
2 Sn 0.880 0.120 0.500
3 Sn 0.859 0.598 0.598
4 Sn 0.598 0.598 0.859
5 Sn 0.402 0.141 0.402
6 Sn 0.402 0.402 0.141
7 Sn 0.141 0.402 0.402
8 Sn 0.120 0.500 0.880
9 Sn 0.500 0.880 0.120
10 Sn 0.120 0.880 0.500
11 Sn 0.880 0.500 0.120
12 Sn 0.500 0.120 0.880
13 Sn 0.598 0.859 0.598
14 Pd 0.707 0.280 0.280
15 Pd 0.280 0.280 0.707
16 Pd 0.280 0.707 0.280
17 Pd 0.720 0.720 0.293
18 Pd 0.293 0.720 0.720
19 Pd 0.720 0.293 0.720

energy = -4.71 eV/atom
space-group type = R-3m, No. 166

***

4.
The following is a PBE calculation of a relaxed ReHgW2 crystal, from Alexandria via LeMat-Bulk.

a = 2.785 Å, b = 2.785 Å, c = 9.345 Å
α = 90.00°, β = 90.00°, γ = 109.73°
Atoms (fractional coordinates):
1 Hg 0.500 0.500 0.250
2 Re 0.500 0.500 0.750
3 W 0.000 0.000 0.979
4 W 0.000 0.000 0.521

energy = -9.15 eV/atom
space-group type = Cmmm, No. 65

***

5.
The following is a PBE calculation of a relaxed KSmPaS4 crystal, from Alexandria via LeMat-Bulk.

a = 8.403 Å, b = 8.471 Å, c = 8.517 Å
α = 120.18°, β = 90.00°, γ = 119.74°
Atoms (fractional coordinates):
1 K 0.875 0.749 0.125
2 K 0.125 0.251 0.875
3 Sm 0.500 0.000 0.500
4 Sm 0.500 0.000 0.000
5 Pa 0.500 0.500 0.500
6 Pa 0.000 0.500 0.500
7 S 0.735 0.470 0.693
8 S 0.306 0.049 0.275
9 S 0.743 0.049 0.275
10 S 0.735 0.470 0.277
11 S 0.265 0.530 0.723
12 S 0.694 0.951 0.725
13 S 0.257 0.951 0.725
14 S 0.265 0.530 0.307

formation energy without anion corrections = -1.705 eV/atom
space-group type = Imma, No. 74

***

6.
The following is a PBE calculation of a relaxed U2MnCo3B12 crystal, from Alexandria via LeMat-Bulk.

a = 7.989 Å, b = 7.989 Å, c = 7.989 Å
α = 38.74°, β = 38.74°, γ = 38.74°
Atoms (fractional coordinates):
1 U 0.643 0.643 0.643
2 U 0.357 0.357 0.357
3 Mn 0.000 0.000 0.000
4 Co 0.500 0.000 0.000
5 Co 0.000 0.500 0.000
6 Co 0.000 0.000 0.500
7 B 0.348 0.348 0.019
8 B 0.949 0.949 0.322
9 B 0.322 0.949 0.949
10 B 0.019 0.348 0.348
11 B 0.949 0.322 0.949
12 B 0.348 0.019 0.348
13 B 0.652 0.652 0.981
14 B 0.051 0.051 0.678
15 B 0.678 0.051 0.051
16 B 0.981 0.652 0.652
17 B 0.051 0.678 0.051
18 B 0.652 0.981 0.652

energy = -7.37 eV/atom
space-group type = R-3m, No. 166

***

7.
The following is a PBE calculation of a relaxed ZrTaO2 crystal, from Alexandria via LeMat-Bulk.

a = 4.052 Å, b = 4.052 Å, c = 4.052 Å
α = 60.00°, β = 60.00°, γ = 60.00°
Atoms (fractional coordinates):
1 O 0.250 0.250 0.250
2 O 0.750 0.750 0.750
3 Zr 0.000 0.000 0.000
4 Ta 0.500 0.500 0.500

energy relative to the lowest polymorph listed for this composition = 824 meV/atom
formation energy without anion corrections = -1.128 eV/atom
space-group type = Fm-3m, No. 225

***

8.
The following is a PBE calculation of a relaxed InMoOs2 crystal, from Alexandria via LeMat-Bulk.

a = 4.535 Å, b = 2.799 Å, c = 5.133 Å
α = 86.77°, β = 90.00°, γ = 90.00°
Atoms (fractional coordinates):
1 In 0.500 0.250 0.250
2 Mo 0.500 0.750 0.750
3 Os 0.000 0.019 0.986
4 Os 0.000 0.481 0.514

energy = -8.45 eV/atom
space-group type = P2/m, No. 10

***

9.
The following is a PBE calculation of a relaxed YAuC crystal, from Alexandria via LeMat-Bulk.

a = 6.704 Å, b = 7.531 Å, c = 4.012 Å
α = 90.00°, β = 90.00°, γ = 90.00°
Atoms (fractional coordinates):
1 Y 0.000 0.000 0.000
2 Y 0.500 0.500 0.500
3 Y 0.500 0.000 0.500
4 Y 0.000 0.500 0.000
5 C 0.314 0.250 0.000
6 C 0.186 0.750 0.500
7 C 0.686 0.750 0.000
8 C 0.814 0.250 0.500
9 Au 0.660 0.250 0.000
10 Au 0.840 0.750 0.500
11 Au 0.340 0.750 0.000
12 Au 0.160 0.250 0.500

energy = -6.13 eV/atom
space-group type = Cmcm, No. 63

***

10.
The following is a PBE calculation of a relaxed Ti2CoW crystal, from Alexandria via LeMat-Bulk.

a = 3.081 Å, b = 3.081 Å, c = 6.174 Å
α = 90.00°, β = 90.00°, γ = 90.00°
Atoms (fractional coordinates):
1 Co 0.500 0.500 0.000
2 W 0.500 0.500 0.500
3 Ti 0.000 0.000 0.761
4 Ti 0.000 0.000 0.239

energy = -9.16 eV/atom
space-group type = P4/mmm, No. 123

***

11.
The following is a PBE calculation of a relaxed YGeN2F crystal, from Alexandria via LeMat-Bulk.

a = 3.898 Å, b = 3.898 Å, c = 3.840 Å
α = 90.00°, β = 90.00°, γ = 90.00°
Atoms (fractional coordinates):
1 Y 0.500 0.500 0.500
2 Ge 0.000 0.000 0.000
3 N 0.000 0.500 0.000
4 N 0.500 0.000 0.000
5 F 0.000 0.000 0.500

energy relative to the lowest polymorph listed for this composition = 0 meV/atom
formation energy without anion corrections = -0.873 eV/atom
space-group type = P4/mmm, No. 123

***

12.
The following is a PBE calculation of a relaxed Pm2TmSi crystal, from Alexandria via LeMat-Bulk.

a = 3.778 Å, b = 3.778 Å, c = 10.142 Å
α = 79.27°, β = 79.27°, γ = 60.00°
Atoms (fractional coordinates):
1 Si 0.000 0.000 0.000
2 Tm 0.500 0.500 0.500
3 Pm 0.268 0.268 0.196
4 Pm 0.732 0.732 0.804

energy relative to the lowest polymorph listed for this composition = 159 meV/atom
formation energy without anion corrections = -0.087 eV/atom
space-group type = R-3m, No. 166